Here is IrI2F after structural relaxation from Alexandria. Energies are from PBE.

Lattice parameters (Å, degrees): 7.012 7.012 6.512 57.42 57.42 90.00
Sites, in units of the cell vectors:
F1 0.250 0.750 0.500
F2 0.500 0.500 0.000
I1 0.094 0.625 0.250
I2 0.875 0.906 0.750
I3 0.656 0.125 0.250
I4 0.375 0.344 0.750
Ir1 0.000 0.000 0.000
Ir2 0.750 0.250 0.500

Values from the calculation:
raw formation energy	-0.011	eV per atom
M_tot	0.00	μB per cell
E above lowest polymorph	0.0	meV/atom
crystal system	tetragonal

---

Here is K3IrI2F6 after structural relaxation from Alexandria. Energies are from PBE.

Lattice parameters (Å, degrees): 6.719 6.426 7.704 114.65 89.77 90.00
Sites, in units of the cell vectors:
K1 0.000 0.500 0.000
K2 0.500 0.500 0.500
K3 0.500 0.000 0.500
F1 0.332 0.164 0.886
F2 0.645 0.874 0.748
F3 0.332 0.722 0.886
F4 0.668 0.278 0.114
F5 0.668 0.836 0.114
F6 0.355 0.126 0.252
Ir1 0.500 0.000 0.000
I1 0.981 0.254 0.508
I2 0.019 0.746 0.492

Values from the calculation:
raw formation energy	-1.784	eV per atom
M_tot	0.83	μB per cell
crystal system	monoclinic

---

Q: Which value of raw formation energy does entry 1 give?
A: -0.011 eV per atom

---

Q: Which value of M_tot does entry 1 give?
A: 0.00 μB per cell

---

Copy entry 2 word for word.
Here is K3IrI2F6 after structural relaxation from Alexandria. Energies are from PBE.

Lattice parameters (Å, degrees): 6.719 6.426 7.704 114.65 89.77 90.00
Sites, in units of the cell vectors:
K1 0.000 0.500 0.000
K2 0.500 0.500 0.500
K3 0.500 0.000 0.500
F1 0.332 0.164 0.886
F2 0.645 0.874 0.748
F3 0.332 0.722 0.886
F4 0.668 0.278 0.114
F5 0.668 0.836 0.114
F6 0.355 0.126 0.252
Ir1 0.500 0.000 0.000
I1 0.981 0.254 0.508
I2 0.019 0.746 0.492

Values from the calculation:
raw formation energy	-1.784	eV per atom
M_tot	0.83	μB per cell
crystal system	monoclinic